1.
Computed, not measured: crystalline Dy2YEr2Tm2Te2Pd2 at its relaxed geometry at the PBE-GGA level of DFT.

Cell lengths 9.396, 9.396, 9.396 Å; angles 155.88, 66.94, 118.62 degrees
Fractional positions:
Dy: 0.023 0.894 0.129
Dy: 0.765 0.894 0.871
Te: 0.740 0.240 0.500
Te: 0.142 0.142 0.000
Y: 0.477 0.477 0.000
Pd: 0.170 0.406 0.763
Pd: 0.643 0.406 0.237
Tm: 0.418 0.101 0.317
Tm: 0.784 0.101 0.683
Er: 0.386 0.742 0.645
Er: 0.097 0.742 0.355

## Properties
calculated total energy: -5.44 eV per atom
total magnetic moment: 0.01 μB per formula unit


2.
Computed, not measured: crystalline HfMgAs at its relaxed geometry at the PBE-GGA level of DFT.

Cell lengths 4.492, 4.492, 4.492 Å; angles 60.00, 60.00, 60.00 degrees
Fractional positions:
As: 0.000 0.000 0.000
Mg: 0.750 0.750 0.750
Hf: 0.250 0.250 0.250

## Properties
calculated total energy: -5.42 eV per atom
total magnetic moment: 0.75 μB per formula unit


3.
Computed, not measured: crystalline Cs2Cu at its relaxed geometry at the PBE-GGA level of DFT.

Cell lengths 10.924, 10.924, 10.924 Å; angles 60.00, 60.00, 60.00 degrees
Fractional positions:
Cs: 0.375 0.875 0.375
Cs: 0.375 0.375 0.875
Cs: 0.375 0.375 0.375
Cs: 0.875 0.375 0.375
Cu: 0.250 0.250 0.250
Cu: 0.500 0.500 0.500

## Properties
calculated total energy: -1.24 eV per atom


4.
Computed, not measured: crystalline Ta6Si5 at its relaxed geometry at the PBE-GGA level of DFT.

Cell lengths 9.645, 9.645, 9.645 Å; angles 131.72, 58.72, 148.62 degrees
Fractional positions:
Si: 0.563 0.088 0.651
Si: 0.786 0.203 0.988
Si: 0.937 0.588 0.525
Si: 0.214 0.797 0.012
Si: 0.437 0.912 0.349
Si: 0.286 0.297 0.583
Si: 0.714 0.703 0.417
Si: 0.063 0.412 0.475
Si: 0.750 0.750 0.000
Si: 0.250 0.250 0.000
Ta: 0.560 0.250 0.310
Ta: 0.145 0.115 0.260
Ta: 0.855 0.885 0.740
Ta: 0.645 0.385 0.030
Ta: 0.355 0.615 0.970
Ta: 0.935 0.252 0.187
Ta: 0.060 0.750 0.310
Ta: 0.440 0.750 0.690
Ta: 0.565 0.752 0.317
Ta: 0.065 0.748 0.813
Ta: 0.940 0.250 0.690
Ta: 0.435 0.248 0.683

## Properties
calculated total energy: -9.42 eV per atom
total magnetic moment: 0.01 μB per formula unit


5.
Computed, not measured: crystalline BaHfPb2 at its relaxed geometry at the PBE-GGA level of DFT.

Cell lengths 5.564, 5.564, 5.564 Å; angles 60.00, 60.00, 60.00 degrees
Site moments in Bohr magnetons follow the coordinates.
Fractional positions:
Ba: 0.500 0.500 0.500  0.09
Pb: 0.750 0.750 0.750  0.00
Pb: 0.000 0.000 0.000  0.01
Hf: 0.250 0.250 0.250  0.59

## Properties
calculated total energy: -4.38 eV per atom
total magnetic moment: 1.15 μB per formula unit


6.
Computed, not measured: crystalline Lu2SiO5 at its relaxed geometry at the PBE-GGA level of DFT.

Cell lengths 6.594, 7.825, 9.348 Å; angles 91.03, 110.65, 114.92 degrees
Fractional positions:
Si: 0.217 0.944 0.308
Si: 0.465 0.556 0.192
Si: 0.783 0.056 0.692
Si: 0.535 0.444 0.808
Lu: 0.685 0.393 0.465
Lu: 0.929 0.445 0.164
Lu: 0.315 0.607 0.535
Lu: 0.327 0.107 0.035
Lu: 0.180 0.945 0.664
Lu: 0.820 0.055 0.336
Lu: 0.071 0.555 0.836
Lu: 0.673 0.893 0.965
O: 0.948 0.037 0.862
O: 0.170 0.041 0.442
O: 0.812 0.541 0.942
O: 0.188 0.459 0.058
O: 0.052 0.963 0.138
O: 0.378 0.226 0.825
O: 0.411 0.585 0.822
O: 0.022 0.638 0.601
O: 0.173 0.726 0.325
O: 0.283 0.862 0.899
O: 0.589 0.415 0.178
O: 0.827 0.274 0.675
O: 0.717 0.138 0.101
O: 0.495 0.085 0.322
O: 0.452 0.537 0.362
O: 0.978 0.362 0.399
O: 0.505 0.915 0.678
O: 0.622 0.774 0.175
O: 0.830 0.959 0.558
O: 0.548 0.463 0.638

## Properties
relative energy among the computed polymorphs: 0 meV per atom
calculated total energy: -8.33 eV per atom
total magnetic moment: 0.00 μB per formula unit


7.
Computed, not measured: crystalline TmLuZn2In2 at its relaxed geometry at the PBE-GGA level of DFT.

Cell lengths 4.680, 4.680, 6.932 Å; angles 90.00, 90.00, 120.00 degrees
Fractional positions:
In: 0.667 0.333 0.249
In: 0.333 0.667 0.751
Lu: 0.000 0.000 0.000
Tm: 0.000 0.000 0.500
Zn: 0.667 0.333 0.751
Zn: 0.333 0.667 0.249

## Properties
calculated total energy: -3.22 eV per atom
total magnetic moment: 0.04 μB per formula unit


8.
Computed, not measured: crystalline DyC at its relaxed geometry at the PBE-GGA level of DFT.

Cell lengths 3.539, 3.539, 3.025 Å; angles 90.00, 90.00, 120.00 degrees
Fractional positions:
Dy: 0.333 0.667 0.250
C: 0.667 0.333 0.750

## Properties
calculated total energy: -6.49 eV per atom
total magnetic moment: 0.08 μB per formula unit